Material: Be2OsPt
Method: DFT, PBE-GGA
State: relaxed

It has space group I-42d (No. 122), with a = 6.0299 Å, b = 6.0299 Å, c = 5.4518 Å, α = 90.00°, β = 90.00° and γ = 90.00°. The asymmetric unit holds Be at (0.2456, 0.2500, 0.1250), Os at (0.0000, 0.0000, 0.5000) and Pt at (0.0000, 0.0000, 0.0000).

Its formation energy is 0.199 eV per atom. Its total magnetization is 0.00 μB/f.u.